{"formula": "TiWSN2", "functional": "PBE", "state": "optimized geometry", "lattice": [[3.852, 0.000, 0.000], [0.000, 3.852, 0.000], [0.000, 0.000, 4.728]], "species": ["S", "N", "N", "W", "Ti"], "frac_coords": [[0.000, 0.000, 0.500], [0.000, 0.500, 0.000], [0.500, 0.000, 0.000], [0.500, 0.500, 0.500], [0.000, 0.000, 0.000]], "spacegroup": "P4/mmm (123)", "polymorph_energy_ev_per_fu": 3.20}

=====

{"formula": "Tb2ScTi", "functional": "PBE", "state": "optimized geometry", "lattice": [[3.283, 0.000, 0.000], [1.642, 2.843, 0.000], [1.642, 0.948, 11.387]], "species": ["Sc", "Tb", "Tb", "Ti"], "frac_coords": [[0.500, 0.500, 0.500], [0.086, 0.086, 0.742], [0.914, 0.914, 0.258], [0.000, 0.000, 0.000]], "delta_e_f_kcal_per_mol_atoms": 9.527, "spacegroup": "R-3m (166)", "polymorph_energy_ev_per_fu": 0.97}

=====

{"formula": "Ca2AcCo", "functional": "PBE", "state": "optimized geometry", "lattice": [[3.874, 0.000, 0.000], [0.000, 7.231, -2.646], [0.000, -0.928, 10.693]], "species": ["Ca", "Ca", "Ca", "Ca", "Ac", "Ac", "Co", "Co"], "frac_coords": [[0.750, 0.235, 0.017], [0.250, 0.765, 0.983], [0.750, 0.323, 0.706], [0.250, 0.677, 0.294], [0.750, 0.784, 0.639], [0.250, 0.216, 0.361], [0.750, 0.992, 0.447], [0.250, 0.008, 0.553]], "delta_e_f_kcal_per_mol_atoms": 2.217, "spacegroup": "P2_1/m (11)"}

=====

{"formula": "Pa3Ni9Ge2", "functional": "PBE", "state": "optimized geometry", "lattice": [[3.924, 0.000, 0.000], [1.962, 7.437, 0.168], [1.962, 1.849, 7.205]], "species": ["Pa", "Pa", "Pa", "Ni", "Ni", "Ni", "Ni", "Ni", "Ni", "Ni", "Ni", "Ni", "Ge", "Ge"], "frac_coords": [[0.000, 0.000, 0.000], [0.698, 0.302, 0.302], [0.302, 0.698, 0.698], [0.000, 0.500, 0.500], [0.675, 0.961, 0.688], [0.325, 0.039, 0.312], [0.675, 0.688, 0.961], [0.325, 0.312, 0.039], [0.880, 0.837, 0.404], [0.120, 0.163, 0.596], [0.880, 0.404, 0.837], [0.120, 0.596, 0.163], [0.500, 0.282, 0.718], [0.500, 0.718, 0.282]], "delta_e_f_kcal_per_mol_atoms": -9.088, "spacegroup": "Immm (71)"}

=====

{"formula": "In2FeRh", "functional": "PBE", "state": "optimized geometry", "lattice": [[-3.594, 2.781, -0.980], [-2.637, -3.724, -0.886], [-0.876, -0.086, 2.969]], "species": ["Fe", "In", "In", "Rh"], "frac_coords": [[0.000, 0.500, 0.500], [0.000, 0.000, 0.000], [0.500, 0.500, 0.000], [0.500, 0.000, 0.500]], "delta_e_f_kcal_per_mol_atoms": -0.838, "spacegroup": "P4/mmm (123)"}

=====

What is the formula in the third record? Ca2AcCo